# 1
Material: Cs2PdWS4
Method: DFT, PBE
State: optimized geometry

Cell and atoms, written as extended XYZ:
```
16
Lattice="0.000 7.226 12.367 2.835 0.000 12.367 2.835 7.226 0.000" Properties=species:S:1:pos:R:3 pbc="T T T"
Cs 2.127 5.419 1.251
Cs 3.544 9.032 7.434
Cs 2.127 5.419 17.299
Cs 3.544 9.032 23.482
Pd 0.709 1.806 3.092
Pd 4.962 12.645 21.641
W 2.127 5.419 9.275
W 3.544 9.032 15.458
S 3.380 4.080 7.971
S 3.380 6.758 10.579
S 4.797 7.693 16.763
S 4.797 10.371 14.154
S 0.873 4.080 10.579
S 0.873 6.758 7.971
S 2.291 7.693 14.154
S 2.291 10.371 16.763
```

Values from the calculation:
Its uncorrected formation energy is -89.61 kJ per mole of atoms. The total energy is -87.585 eV for the cell shown.


# 2
Material: Rb2Tl4Cd3Pb
Method: DFT, PBE
State: optimized geometry

Cell and atoms, written as extended XYZ:
```
10
Lattice="5.165 0.000 0.000 0.000 5.165 0.000 0.000 0.000 12.984" Properties=species:S:1:pos:R:3 pbc="T T T"
Rb 0.000 2.583 3.234
Rb 2.583 0.000 9.749
Tl 0.000 0.000 0.000
Tl 0.000 2.583 8.301
Tl 2.583 0.000 4.682
Tl 2.583 2.583 0.000
Cd 0.000 2.583 11.297
Cd 2.583 0.000 1.686
Cd 2.583 2.583 6.492
Pb 0.000 0.000 6.492
```

Values from the calculation:
The value obtained for the formation energy is -0.056 eV/atom. The total energy is -18.417 eV for the cell shown.


# 3
Material: Sm4Hg2N
Method: DFT, PBE
State: optimized geometry

Cell and atoms, written as extended XYZ:
```
14
Lattice="4.969 0.000 0.000 0.000 4.969 0.000 0.000 0.000 15.001" Properties=species:S:1:pos:R:3 pbc="T T T"
Sm 0.000 0.000 2.510
Sm 0.000 0.000 12.491
Sm 0.000 2.484 0.000
Sm 0.000 2.484 7.501
Sm 2.484 0.000 0.000
Sm 2.484 0.000 7.501
Sm 2.484 2.484 4.991
Sm 2.484 2.484 10.011
Hg 0.000 0.000 5.541
Hg 0.000 0.000 9.460
Hg 2.484 2.484 1.959
Hg 2.484 2.484 13.042
N 0.000 0.000 0.000
N 2.484 2.484 7.501
```

Values from the calculation:
Its uncorrected formation energy is -64.77 kJ per mole of atoms. The total energy is -65.010 eV for the cell shown. The calculation puts the relative energy among the computed polymorphs at 0.0000 eV per atom.


# 4
Material: Nd4Y5Th2
Method: DFT, PBE
State: optimized geometry

Cell and atoms, written as extended XYZ:
```
11
Lattice="3.614 0.000 0.000 1.790 9.382 0.000 0.007 0.733 10.821" Properties=species:S:1:pos:R:3 pbc="T T T"
Nd 0.902 3.359 4.911
Nd 2.700 7.907 8.921
Nd 2.711 2.208 1.900
Nd 4.508 6.756 5.910
Y 0.895 4.691 0.000
Y 2.693 9.197 3.905
Y 2.700 5.785 2.906
Y 2.710 4.330 7.915
Y 2.717 0.918 6.915
Th 0.911 1.913 9.821
Th 4.499 8.202 0.999
```

Values from the calculation:
The value obtained for the formation energy is 0.026 eV/atom. The total energy is -65.941 eV for the cell shown.


# 5
Material: Sb2TeRuBr
Method: DFT, PBE
State: optimized geometry

Cell and atoms, written as extended XYZ:
```
5
Lattice="5.310 0.000 0.000 0.000 5.310 0.000 0.000 0.000 5.478" Properties=species:S:1:pos:R:3 pbc="T T T"
Sb 0.000 2.655 0.000
Sb 2.655 0.000 0.000
Te 0.000 0.000 2.739
Ru 2.655 2.655 2.739
Br 0.000 0.000 0.000
```

Values from the calculation:
Its uncorrected formation energy is 159.83 kJ per mole of atoms. The total energy is -14.053 eV for the cell shown. The calculation puts the relative energy among the computed polymorphs at 1.3242 eV per atom.


# 6
Material: Cr2BiS
Method: DFT, PBE
State: optimized geometry

Cell and atoms, written as extended XYZ:
```
16
Lattice="5.552 0.000 0.000 0.000 5.552 0.000 0.000 0.000 12.859" Properties=species:S:1:pos:R:3 pbc="T T T"
Cr 0.943 1.388 1.607
Cr 1.388 3.719 4.822
Cr 1.388 4.608 11.252
Cr 1.833 1.388 8.037
Cr 3.719 4.164 8.037
Cr 4.164 0.943 11.252
Cr 4.164 1.833 4.822
Cr 4.608 4.164 1.607
Bi 0.000 0.000 6.430
Bi 0.000 2.776 9.645
Bi 2.776 0.000 3.215
Bi 2.776 2.776 0.000
S 0.000 0.000 0.000
S 0.000 2.776 3.215
S 2.776 0.000 9.645
S 2.776 2.776 6.430
```

Values from the calculation:
Its uncorrected formation energy is 15.96 kJ per mole of atoms. The total energy is -106.374 eV for the cell shown. The calculation puts the relative energy among the computed polymorphs at 0.0000 eV per atom.